RbNbCdCu2: optimized geometry, PBE.

Computed properties:
Final energy in eV per atom: -1.9984
Energy relative to the elements in eV per atom: 2.031
D(E_F) in states/eV per atom: 0.97
Symmetry: P4/mmm, No. 123
M_tot in μB per cell: 3.13

a = 5.0760 Å, b = 5.0760 Å, c = 5.6705 Å
α = 90.00°, β = 90.00°, γ = 90.00°
Positions (direct):
Rb 0.0000 0.0000 0.0000
Nb 0.5000 0.5000 0.5000
Cd 0.0000 0.0000 0.5000
Cu 0.0000 0.5000 0.0000
Cu 0.5000 0.0000 0.0000